[1]
# Rb3Au3Br8, relaxed, DFT PBEsol
# Raw formation energy = -0.848 eV/atom
# E = -2.98 eV/atom
# Spin magnetization = 0.000 μB per formula unit
# Space-group type = No. 15
data_Rb3Au3Br8
_symmetry_space_group_name_H-M 'P 1'
_symmetry_Int_Tables_number 1
_symmetry_space_group_name_Hall 'P 1'
_cell_length_a 7.226
_cell_length_b 7.226
_cell_length_c 18.571
_cell_angle_alpha 98.56
_cell_angle_beta 98.56
_cell_angle_gamma 66.92
loop_
_atom_site_label
_atom_site_type_symbol
_atom_site_fract_x
_atom_site_fract_y
_atom_site_fract_z
_atom_site_occupancy
Rb1 Rb 0.014 0.986 0.750 1
Rb2 Rb 0.292 0.349 0.931 1
Rb3 Rb 0.349 0.292 0.431 1
Rb4 Rb 0.651 0.708 0.569 1
Rb5 Rb 0.708 0.651 0.069 1
Rb6 Rb 0.986 0.014 0.250 1
Au1 Au 0.000 0.000 0.000 1
Au2 Au 0.000 0.000 0.500 1
Au3 Au 0.393 0.398 0.196 1
Au4 Au 0.398 0.393 0.696 1
Au5 Au 0.602 0.607 0.304 1
Au6 Au 0.607 0.602 0.804 1
Br1 Br 0.100 0.493 0.760 1
Br2 Br 0.148 0.709 0.574 1
Br3 Br 0.169 0.209 0.081 1
Br4 Br 0.209 0.169 0.581 1
Br5 Br 0.265 0.678 0.121 1
Br6 Br 0.291 0.852 0.926 1
Br7 Br 0.322 0.735 0.379 1
Br8 Br 0.493 0.100 0.260 1
Br9 Br 0.507 0.900 0.740 1
Br10 Br 0.678 0.265 0.621 1
Br11 Br 0.709 0.148 0.074 1
Br12 Br 0.735 0.322 0.879 1
Br13 Br 0.791 0.831 0.419 1
Br14 Br 0.831 0.791 0.919 1
Br15 Br 0.852 0.291 0.426 1
Br16 Br 0.900 0.507 0.240 1

[2]
# RbAuBr3, relaxed, DFT PBEsol
# Raw formation energy = -0.826 eV/atom
# E = -2.94 eV/atom
# Fermi-level density of states = 0.02 states/eV/cell
# Spin magnetization = 0.000 μB per formula unit
# Space-group type = No. 12
data_RbAuBr3
_symmetry_space_group_name_H-M 'P 1'
_symmetry_Int_Tables_number 1
_symmetry_space_group_name_Hall 'P 1'
_cell_length_a 7.377
_cell_length_b 7.377
_cell_length_c 7.859
_cell_angle_alpha 115.65
_cell_angle_beta 115.65
_cell_angle_gamma 60.01
loop_
_atom_site_label
_atom_site_type_symbol
_atom_site_fract_x
_atom_site_fract_y
_atom_site_fract_z
_atom_site_occupancy
Rb1 Rb 0.233 0.233 0.227 1
Rb2 Rb 0.767 0.767 0.773 1
Au1 Au 0.000 0.000 0.500 1
Au2 Au 0.500 0.500 0.000 1
Br1 Br 0.220 0.220 0.661 1
Br2 Br 0.237 0.712 0.201 1
Br3 Br 0.288 0.763 0.799 1
Br4 Br 0.712 0.237 0.201 1
Br5 Br 0.763 0.288 0.799 1
Br6 Br 0.780 0.780 0.339 1

Look up the spin magnetization of the second one. 0.000 μB per formula unit

raw formation energy of number 2 (RbAuBr3)? -0.826 eV/atom

What is the E in the second record? -2.94 eV/atom